Computed, not measured: a relaxed structure of Sm5YHo2Er at the GGA-PBE level of DFT.

Results
total moment	0.00	μB/f.u.
ΔE_f	147	meV per atom
SG	No. 36

Cell: 5.6198 10.4453 10.6854 Å, 90.00 90.00 105.61°
Element x y z (fractional)
Sm1 0.4812 0.9625 0.7420
Sm2 0.2814 0.5628 0.3094
Sm3 0.2990 0.5979 0.7076
Sm4 0.3883 0.7766 0.0219
Sm5 0.5188 0.0375 0.2420
Sm6 0.7186 0.4372 0.8094
Sm7 0.9827 0.9654 0.5199
Sm8 0.7010 0.4021 0.2076
Sm9 0.6117 0.2234 0.5219
Sm10 0.0173 0.0346 0.0199
Ho1 0.8891 0.7781 0.2380
Ho2 0.8852 0.7705 0.8140
Ho3 0.1148 0.2295 0.3140
Ho4 0.1109 0.2219 0.7380
Y1 0.8001 0.6002 0.5105
Y2 0.1999 0.3998 0.0105
Er1 0.5898 0.1796 0.9606
Er2 0.4102 0.8204 0.4606

Computed, not measured: a relaxed structure of TcAg2Ru at the GGA-PBE level of DFT.

Results
total moment	0.00	μB/f.u.
energy above the most stable polymorph in this dataset	0.685	eV/atom
ΔE_f	915	meV per atom
SG	No. 225

Cell: 4.4761 4.4761 4.4761 Å, 60.00 60.00 60.00°
Element x y z (fractional)
Ag1 0.2500 0.2500 0.2500
Ag2 0.7500 0.7500 0.7500
Ru1 0.5000 0.5000 0.5000
Tc1 0.0000 0.0000 0.0000

Computed, not measured: a relaxed structure of TlReSI2 at the GGA-PBE level of DFT.

Results
raw formation energy	878	meV/atom
total moment	0.00	μB/f.u.
SG	No. 123

Cell: 5.2052 5.5798 5.2052 Å, 90.00 90.00 90.00°
Element x y z (fractional)
I1 0.5000 0.0000 0.0000
I2 0.0000 0.0000 0.5000
S1 0.5000 0.5000 0.5000
Re1 0.0000 0.0000 0.0000
Tl1 0.0000 0.5000 0.0000

Computed, not measured: a relaxed structure of ThZnSn at the GGA-PBE level of DFT.

Results
total moment	0.00	μB/f.u.
ΔE_f	160	meV per atom
SG	No. 107

Cell: 3.2763 3.2763 8.5403 Å, 101.06 101.06 90.00°
Element x y z (fractional)
Th1 0.1288 0.1288 0.2576
Sn1 0.7772 0.7772 0.5544
Zn1 0.9440 0.9440 0.8879

Computed, not measured: a relaxed structure of Sr2GaSn3 at the GGA-PBE level of DFT.

Results
total moment	0.00	μB/f.u.
energy above the most stable polymorph in this dataset	0.000	eV/atom
ΔE_f	-484	meV per atom
SG	No. 8

Cell: 4.6076 6.6379 6.7869 Å, 86.46 70.16 69.69°
Element x y z (fractional)
Sn1 0.1801 0.7725 0.8672
Sn2 0.9090 0.5441 0.6378
Sn3 0.7778 0.2223 0.2221
Sr1 0.4326 0.8250 0.3098
Sr2 0.5332 0.1674 0.7663
Ga1 0.1672 0.4687 0.1968

Computed, not measured: a relaxed structure of Tb12Te3H5 at the GGA-PBE level of DFT.

Results
total moment	0.00	μB/f.u.
electronic total energy	-364.3	eV for the cell shown
SG	No. 230

Cell: 13.5345 13.5345 13.5345 Å, 109.47 109.47 109.47°
Element x y z (fractional)
H1 0.0000 0.5000 0.0000
H2 0.0000 0.0000 0.5000
H3 0.0000 0.0000 0.0000
H4 0.1250 0.7500 0.3750
H5 0.2500 0.3750 0.6250
H6 0.0000 0.5000 0.5000
H7 0.2500 0.8750 0.1250
H8 0.8750 0.6250 0.7500
H9 0.6250 0.7500 0.8750
H10 0.6250 0.8750 0.2500
H11 0.5000 0.0000 0.5000
H12 0.3750 0.2500 0.1250
H13 0.5000 0.5000 0.5000
H14 0.7500 0.1250 0.8750
H15 0.5000 0.0000 0.0000
H16 0.5000 0.5000 0.0000
H17 0.3750 0.1250 0.7500
H18 0.1250 0.3750 0.2500
H19 0.8750 0.2500 0.6250
H20 0.7500 0.6250 0.3750
Tb1 0.4021 0.0112 0.3068
Tb2 0.8068 0.9048 0.2956
Tb3 0.1092 0.7044 0.5112
Tb4 0.6932 0.4888 0.5979
Tb5 0.2956 0.4048 0.8068
Tb6 0.0952 0.1932 0.2044
Tb7 0.9888 0.5979 0.1932
Tb8 0.7044 0.5952 0.1932
Tb9 0.0952 0.9021 0.3908
Tb10 0.0112 0.6092 0.7044
Tb11 0.3908 0.9888 0.7956
Tb12 0.8908 0.5952 0.9021
Tb13 0.9048 0.8068 0.7956
Tb14 0.9021 0.8068 0.5112
Tb15 0.6092 0.0112 0.2044
Tb16 0.4048 0.2956 0.3068
Tb17 0.0979 0.1932 0.4888
Tb18 0.0112 0.4021 0.8068
Tb19 0.3068 0.5112 0.4021
Tb20 0.5979 0.6092 0.4048
Tb21 0.1932 0.0979 0.9888
Tb22 0.5979 0.9888 0.6932
Tb23 0.9888 0.3908 0.2956
Tb24 0.2044 0.6932 0.0952
Tb25 0.5952 0.7044 0.6932
Tb26 0.6932 0.2044 0.5952
Tb27 0.9048 0.0979 0.6092
Tb28 0.3908 0.4021 0.0952
Tb29 0.4048 0.1092 0.5979
Tb30 0.7956 0.3068 0.9048
Tb31 0.8908 0.2956 0.4888
Tb32 0.0979 0.9048 0.1092
Tb33 0.4888 0.6932 0.0979
Tb34 0.5952 0.8908 0.4021
Tb35 0.4888 0.7956 0.8908
Tb36 0.2044 0.5112 0.6092
Tb37 0.2956 0.8908 0.9888
Tb38 0.9021 0.0952 0.8908
Tb39 0.4021 0.3908 0.5952
Tb40 0.5112 0.3068 0.9021
Tb41 0.5112 0.2044 0.1092
Tb42 0.3068 0.7956 0.4048
Tb43 0.6092 0.5979 0.9048
Tb44 0.1932 0.0952 0.7044
Tb45 0.7044 0.1092 0.0112
Tb46 0.8068 0.9021 0.0112
Tb47 0.7956 0.4888 0.3908
Tb48 0.1092 0.4048 0.0979
Te1 0.3750 0.7500 0.6250
Te2 0.7500 0.3750 0.1250
Te3 0.1250 0.2500 0.8750
Te4 0.3750 0.6250 0.2500
Te5 0.2500 0.6250 0.8750
Te6 0.7500 0.8750 0.6250
Te7 0.1250 0.8750 0.7500
Te8 0.8750 0.1250 0.2500
Te9 0.6250 0.2500 0.3750
Te10 0.6250 0.3750 0.7500
Te11 0.2500 0.1250 0.3750
Te12 0.8750 0.7500 0.1250

Repeat the sixth record exactly.
Computed, not measured: a relaxed structure of Tb12Te3H5 at the GGA-PBE level of DFT.

Results
total moment	0.00	μB/f.u.
electronic total energy	-364.3	eV for the cell shown
SG	No. 230

Cell: 13.5345 13.5345 13.5345 Å, 109.47 109.47 109.47°
Element x y z (fractional)
H1 0.0000 0.5000 0.0000
H2 0.0000 0.0000 0.5000
H3 0.0000 0.0000 0.0000
H4 0.1250 0.7500 0.3750
H5 0.2500 0.3750 0.6250
H6 0.0000 0.5000 0.5000
H7 0.2500 0.8750 0.1250
H8 0.8750 0.6250 0.7500
H9 0.6250 0.7500 0.8750
H10 0.6250 0.8750 0.2500
H11 0.5000 0.0000 0.5000
H12 0.3750 0.2500 0.1250
H13 0.5000 0.5000 0.5000
H14 0.7500 0.1250 0.8750
H15 0.5000 0.0000 0.0000
H16 0.5000 0.5000 0.0000
H17 0.3750 0.1250 0.7500
H18 0.1250 0.3750 0.2500
H19 0.8750 0.2500 0.6250
H20 0.7500 0.6250 0.3750
Tb1 0.4021 0.0112 0.3068
Tb2 0.8068 0.9048 0.2956
Tb3 0.1092 0.7044 0.5112
Tb4 0.6932 0.4888 0.5979
Tb5 0.2956 0.4048 0.8068
Tb6 0.0952 0.1932 0.2044
Tb7 0.9888 0.5979 0.1932
Tb8 0.7044 0.5952 0.1932
Tb9 0.0952 0.9021 0.3908
Tb10 0.0112 0.6092 0.7044
Tb11 0.3908 0.9888 0.7956
Tb12 0.8908 0.5952 0.9021
Tb13 0.9048 0.8068 0.7956
Tb14 0.9021 0.8068 0.5112
Tb15 0.6092 0.0112 0.2044
Tb16 0.4048 0.2956 0.3068
Tb17 0.0979 0.1932 0.4888
Tb18 0.0112 0.4021 0.8068
Tb19 0.3068 0.5112 0.4021
Tb20 0.5979 0.6092 0.4048
Tb21 0.1932 0.0979 0.9888
Tb22 0.5979 0.9888 0.6932
Tb23 0.9888 0.3908 0.2956
Tb24 0.2044 0.6932 0.0952
Tb25 0.5952 0.7044 0.6932
Tb26 0.6932 0.2044 0.5952
Tb27 0.9048 0.0979 0.6092
Tb28 0.3908 0.4021 0.0952
Tb29 0.4048 0.1092 0.5979
Tb30 0.7956 0.3068 0.9048
Tb31 0.8908 0.2956 0.4888
Tb32 0.0979 0.9048 0.1092
Tb33 0.4888 0.6932 0.0979
Tb34 0.5952 0.8908 0.4021
Tb35 0.4888 0.7956 0.8908
Tb36 0.2044 0.5112 0.6092
Tb37 0.2956 0.8908 0.9888
Tb38 0.9021 0.0952 0.8908
Tb39 0.4021 0.3908 0.5952
Tb40 0.5112 0.3068 0.9021
Tb41 0.5112 0.2044 0.1092
Tb42 0.3068 0.7956 0.4048
Tb43 0.6092 0.5979 0.9048
Tb44 0.1932 0.0952 0.7044
Tb45 0.7044 0.1092 0.0112
Tb46 0.8068 0.9021 0.0112
Tb47 0.7956 0.4888 0.3908
Tb48 0.1092 0.4048 0.0979
Te1 0.3750 0.7500 0.6250
Te2 0.7500 0.3750 0.1250
Te3 0.1250 0.2500 0.8750
Te4 0.3750 0.6250 0.2500
Te5 0.2500 0.6250 0.8750
Te6 0.7500 0.8750 0.6250
Te7 0.1250 0.8750 0.7500
Te8 0.8750 0.1250 0.2500
Te9 0.6250 0.2500 0.3750
Te10 0.6250 0.3750 0.7500
Te11 0.2500 0.1250 0.3750
Te12 0.8750 0.7500 0.1250